VASP calculation (PBE) on Ho3TmAl2 after structural relaxation.

POSCAR file:
```
Ho3TmAl2
1.0
5.0644 0.0000 0.0000
0.0000 9.3897 0.0000
0.0000 0.0000 6.5034
Ho Tm Al
6 2 4
Direct
0.0000 0.0394 0.0000
0.0000 0.3240 0.3401
0.0000 0.6760 0.8401
0.0000 0.9606 0.5000
0.5000 0.1785 0.7148
0.5000 0.8215 0.2148
0.5000 0.4598 0.0547
0.5000 0.5402 0.5547
0.0000 0.3530 0.8211
0.0000 0.6470 0.3211
0.5000 0.1474 0.2345
0.5000 0.8526 0.7345
```

**ΔE to the lowest computed polymorph**: 0.0 meV per atom
**E_tot**: -4.579 eV per atom
**Magnetic moment**: 0.0 μB per cell
**ΔH_f (0 K)**: -0.30 eV per atom
**Symmetry**: Pmc2_1

=====

VASP calculation (PBE) on LiInPb after structural relaxation.

POSCAR file:
```
LiInPb
1.0
5.4348 0.0000 0.0000
0.0000 3.5432 0.0000
-1.6221 0.0000 7.7914
Li In Pb
2 2 2
Direct
0.0000 0.0000 0.0000
0.4486 0.0000 0.6365
0.7469 0.0000 0.3392
0.9482 0.5000 0.6822
0.2392 0.5000 0.3180
0.4991 0.5000 0.9633
```

**E_tot**: -2.933 eV per atom
**Magnetic moment**: 0.0 μB per cell
**ΔH_f (0 K)**: -0.15 eV per atom
**Symmetry**: Pm

=====

VASP calculation (PBE) on RbScSe2 after structural relaxation.

POSCAR file:
```
RbScSe2
1.0
0.0000 5.6684 5.0802
4.9802 0.0000 5.0802
4.9802 5.6684 0.0000
Rb Sc Se
2 2 4
Direct
0.0000 0.0000 0.0000
0.2500 0.2500 0.2500
0.4533 0.4533 0.5467
0.7033 0.7033 0.7967
0.0583 0.5590 0.8501
0.3999 0.7174 0.1917
0.5590 0.0583 0.5326
0.7174 0.3999 0.6910
```

**E_tot**: -5.048 eV per atom
**Magnetic moment**: 0.0 μB per cell
**Formation energy from raw total energies**: -1481 meV/atom
**Symmetry**: Fdd2

=====

VASP calculation (PBE) on Tb5Sm12Sc2 after structural relaxation.

POSCAR file:
```
Tb5Sm12Sc2
1.0
11.1207 -3.5015 0.0000
11.1207 3.5015 0.0000
-3.2119 0.0000 8.0695
Tb Sm Sc
5 12 2
Direct
0.0000 0.0000 0.0000
0.2487 0.2487 0.9899
0.3530 0.3530 0.4065
0.6470 0.6470 0.5935
0.7513 0.7513 0.0101
0.0490 0.5436 0.7072
0.1342 0.1342 0.5368
0.1520 0.6397 0.1220
0.3603 0.8480 0.8780
0.4511 0.4511 0.8022
0.4564 0.9510 0.2928
0.5436 0.0490 0.7072
0.5489 0.5489 0.1978
0.6397 0.1520 0.1220
0.8480 0.3603 0.8780
0.8658 0.8658 0.4632
0.9510 0.4564 0.2928
0.2645 0.7355 0.5000
0.7355 0.2645 0.5000
```

**ΔE to the lowest computed polymorph**: 0.0 meV per atom
**E_tot**: -4.715 eV per atom
**Magnetic moment**: 0.0 μB per cell
**ΔH_f (0 K)**: 0.15 eV per atom
**Symmetry**: C2/m

=====

VASP calculation (PBE) on Ti2ZnH2 after structural relaxation.

POSCAR file:
```
Ti2ZnH2
1.0
6.2433 0.0000 0.0000
0.0000 6.2433 0.0000
0.0000 0.0000 2.6432
Ti Zn H
4 2 4
Direct
0.1545 0.3455 0.0000
0.3455 0.8455 0.0000
0.6545 0.1545 0.0000
0.8455 0.6545 0.0000
0.0000 0.0000 0.5000
0.5000 0.5000 0.5000
0.1196 0.6196 0.5000
0.3804 0.1196 0.5000
0.6196 0.8804 0.5000
0.8804 0.3804 0.5000
```

**ΔE to the lowest computed polymorph**: 343.4 meV per atom
**E_tot**: -4.769 eV per atom
**Magnetic moment**: 0.0 μB per cell
**Symmetry**: P4/mbm

=====

VASP calculation (PBE) on Dy2TmPt3 after structural relaxation.

POSCAR file:
```
Dy2TmPt3
1.0
4.0587 0.0000 0.0000
0.0000 5.7308 0.0000
0.0000 0.0000 12.1270
Dy Tm Pt
4 2 6
Direct
0.0000 0.0000 0.1674
0.0000 0.0000 0.8326
0.5000 0.5000 0.3326
0.5000 0.5000 0.6674
0.0000 0.0000 0.5000
0.5000 0.5000 0.0000
0.0000 0.5000 0.1640
0.0000 0.5000 0.5000
0.0000 0.5000 0.8360
0.5000 0.0000 0.0000
0.5000 0.0000 0.3360
0.5000 0.0000 0.6640
```

**ΔE to the lowest computed polymorph**: 107.9 meV per atom
**E_tot**: -6.437 eV per atom
**Magnetic moment**: 0.0 μB per cell
**ΔH_f (0 K)**: -1.14 eV per atom
**Symmetry**: Immm